# 1
The following is a PBE-GGA calculation of an optimized crystal structure of SrTaTi2O8, from the Alexandria database.

**ρ**: 4777 kg/m³

```
SrTaTi2O8
1.0
3.919 -3.173 0.000
3.919 3.173 0.000
-1.118 0.000 6.882
Sr Ta Ti O
1 1 2 8
direct
0.000 0.000 0.000
0.000 0.000 0.500
0.443 0.443 0.784
0.557 0.557 0.216
0.209 0.767 0.704
0.233 0.791 0.296
0.252 0.252 0.579
0.339 0.339 0.999
0.661 0.661 0.001
0.748 0.748 0.421
0.767 0.209 0.704
0.791 0.233 0.296
```

***

# 2
The following is a PBE-GGA calculation of an optimized crystal structure of SrTaTlO4, from the Alexandria database.

**ρ**: 5584 kg/m³

```
SrTaTlO4
1.0
6.687 0.000 0.000
0.000 6.400 0.000
-1.420 0.000 7.461
Sr Ta Tl O
2 2 2 8
direct
0.187 0.250 0.081
0.813 0.750 0.919
0.302 0.750 0.860
0.698 0.250 0.140
0.306 0.250 0.615
0.694 0.750 0.385
0.120 0.523 0.845
0.120 0.977 0.845
0.476 0.750 0.695
0.478 0.750 0.080
0.522 0.250 0.920
0.524 0.250 0.305
0.880 0.023 0.155
0.880 0.477 0.155
```

***

# 3
The following is a PBE-GGA calculation of an optimized crystal structure of SrTa2Tl2O7, from the Alexandria database.

**ρ**: 8486 kg/m³

```
SrTa2Tl2O7
1.0
2.834 -2.825 0.000
2.834 2.825 0.000
-2.217 0.000 11.856
Sr Ta Tl O
1 2 2 7
direct
0.000 0.000 0.000
0.425 0.425 0.821
0.575 0.575 0.179
0.191 0.191 0.389
0.809 0.809 0.611
0.063 0.562 0.162
0.374 0.374 0.662
0.438 0.937 0.838
0.500 0.500 0.000
0.562 0.063 0.162
0.626 0.626 0.338
0.937 0.438 0.838
```

***

# 4
The following is a PBE-GGA calculation of an optimized crystal structure of Sr2TaTlO5, from the Alexandria database.

**ρ**: 7163 kg/m³

```
Sr2TaTlO5
1.0
-2.024 3.185 5.758
2.024 -3.185 5.758
2.024 3.185 -5.758
Sr Ta Tl O
2 1 1 5
direct
0.226 0.226 0.000
0.774 0.774 0.000
0.000 0.500 0.500
0.500 0.000 0.500
0.000 0.000 0.000
0.083 0.370 0.713
0.342 0.630 0.713
0.658 0.370 0.287
0.917 0.630 0.287
```

***

# 5
The following is a PBE-GGA calculation of an optimized crystal structure of SrUTaO6, from the Alexandria database.

**ρ**: 6959 kg/m³

```
SrUTaO6
1.0
5.626 0.000 0.000
-2.813 4.872 0.000
0.000 0.000 10.492
Sr U Ta O
2 2 2 12
direct
0.000 0.000 0.000
0.000 0.000 0.500
0.333 0.667 0.250
0.667 0.333 0.750
0.333 0.667 0.750
0.667 0.333 0.250
0.019 0.381 0.646
0.019 0.638 0.854
0.362 0.381 0.854
0.362 0.981 0.646
0.381 0.019 0.146
0.381 0.362 0.354
0.619 0.638 0.646
0.619 0.981 0.854
0.638 0.019 0.354
0.638 0.619 0.146
0.981 0.362 0.146
0.981 0.619 0.354
```

***

Number 1: formation energy (no corrections) -2.768 eV per atom. Number 2: formation energy (no corrections) -2.412 eV per atom. Number 3: formation energy (no corrections) -2.429 eV per atom. Number 4: formation energy (no corrections) -2.551 eV per atom. Number 5: formation energy (no corrections) -3.117 eV per atom.